An optimized crystal structure of AlGaBr4. Source: Alexandria, functional GGA-PBE.

abc: 13.5193 5.5505 13.6137
angles: 90.00 109.10 90.00
Space group C2/m (No. 12)
Inequivalent atoms, fractional coordinates:
Al  0.0904  0.0000  0.2450 [4 per cell]
Ga  0.1784  0.0000  0.6944 [4 per cell]
Br  0.0747  0.0000  0.8771 [4 per cell]
Br  0.0992  0.5000  0.2371 [4 per cell]
Br  0.1047  0.0000  0.4183 [4 per cell]
Br  0.2461  0.0000  0.2031 [4 per cell]

## Properties
E	-18.6	eV per formula unit
polymorph energy (0 for the lowest one)	55	kJ/mol of formula units
DOS(E_F)	0.0	states/eV/f.u.
E_form (uncorrected)	-852	meV/atom